3
Lattice="-4.959 -0.914 1.293 -2.343 -1.969 4.211 3.515 3.304 -1.957" Properties=species:S:1:pos:R:3 comment="LiTcRh | the Alexandria database | PBE-GGA | optimized geometry" final_energy_ev_per_atom=-6.48 magnetic_moment_mub_per_cell=0.0 pbc="T T T"
Li -7.256 -2.865 5.469
Tc -4.880 -1.927 3.678
Rh -2.469 -0.975 1.861


5
Lattice="-2.367 -2.818 2.871 -2.175 -1.905 -3.664 3.384 -3.196 -0.347" Properties=species:S:1:pos:R:3 comment="AlCrGe3 | the Alexandria database | PBE-GGA | optimized geometry" final_energy_ev_per_atom=-5.08 magnetic_moment_mub_per_cell=0.0 pbc="T T T"
Ge 1.692 -1.598 -0.174
Ge -1.184 -1.409 1.435
Ge -1.088 -0.952 -1.832
Cr 0.000 0.000 0.000
Al -0.580 -3.960 -0.570


5
Lattice="-3.525 2.707 -0.884 -2.819 -3.516 0.472 -0.413 0.938 4.523" Properties=species:S:1:pos:R:3 comment="TaBSeBr2 | the Alexandria database | PBE-GGA | optimized geometry" magnetic_moment_mub_per_cell=2.7 raw_formation_energy_ev_per_atom=1.093 pbc="T T T"
Br -1.762 1.354 -0.442
Br -1.409 -1.758 0.236
Se -0.207 0.469 2.261
B 0.000 0.000 0.000
Ta -3.378 0.065 2.056


4
Lattice="3.558 0.001 0.000 0.000 3.558 0.000 0.000 0.000 7.589" Properties=species:S:1:pos:R:3 comment="CaIrPb2 | the Alexandria database | PBE-GGA | optimized geometry" final_energy_ev_per_atom=-4.57 magnetic_moment_mub_per_cell=0.0 pbc="T T T"
Pb 0.000 0.000 7.255
Pb 0.000 0.000 4.129
Ca 1.779 1.779 1.897
Ir 1.779 1.779 5.692